DFT (PBE-GGA) results for crystalline Ba3NiB at its relaxed geometry.

Geometry as POSCAR:
```
Ba3NiB
1.0
5.7960 0.0000 0.0000
0.0000 5.7960 0.0000
0.0000 0.0000 5.7960
B Ba Ni
1 3 1
Cartesian
0.0000 0.0000 0.0000 B
0.0000 2.8980 0.0000 Ba
2.8980 0.0000 0.0000 Ba
0.0000 0.0000 2.8980 Ba
2.8980 2.8980 2.8980 Ni
```

Output
Total energy   -2.95 eV/atom
Calculated density   4.11 g/cm3
Offset from the most stable computed form   0.000 eV/atom
Space group   No. 221